Entry 1:
DFT (PBE) results for a relaxed MgPtO crystal.

POSCAR file:
```
MgPtO
1.0
3.2899 0.0000 0.0000
-1.6450 2.8492 0.0000
0.0000 0.0000 9.2230
Mg Pt O
2 2 2
direct
0.3333 0.6667 0.2500
0.6667 0.3333 0.7500
0.0000 0.0000 0.0000
0.0000 0.0000 0.5000
0.0000 0.0000 0.2500
0.0000 0.0000 0.7500
```

calculated volume = 14.41 Å³ per atom
formation energy from raw total energies = -1030.8 meV/atom
DFT total energy = -31.4 eV/cell
symmetry = P6_3/mmc (194)

=====

Entry 2:
DFT (PBE) results for a relaxed MgPtO crystal.

POSCAR file:
```
MgPtO
1.0
1.3946 -5.8291 0.0000
1.3946 5.8291 0.0000
0.0000 0.0000 4.7174
Mg Pt O
2 2 2
direct
0.0633 0.9367 0.5000
0.9367 0.0633 0.0000
0.3013 0.6987 0.5628
0.6987 0.3013 0.0628
0.4531 0.5469 0.3058
0.5469 0.4531 0.8058
```

calculated volume = 12.78 Å³ per atom
formation energy from raw total energies = -1144.2 meV/atom
DFT total energy = -32.1 eV/cell
symmetry = Cmc2_1 (36)

=====

Entry 3:
DFT (PBE) results for a relaxed MgPtO2 crystal.

POSCAR file:
```
MgPtO2
1.0
1.7255 0.9962 5.4939
-1.7255 0.9962 5.4939
0.0000 -1.9924 5.4939
Mg Pt O
1 1 2
direct
0.0000 0.0000 0.0000
0.5000 0.5000 0.5000
0.1175 0.1175 0.1175
0.8825 0.8825 0.8825
```

calculated volume = 14.17 Å³ per atom
formation energy from raw total energies = -648.8 meV/atom
DFT total energy = -20.1 eV/cell
symmetry = R-3m (166)

=====

Entry 4:
DFT (PBE) results for a relaxed MgPtO2 crystal.

POSCAR file:
```
MgPtO2
1.0
-2.4749 2.4749 4.3444
2.4749 -2.4749 4.3444
2.4749 2.4749 -4.3444
Mg Pt O
2 2 4
direct
0.0000 0.0000 0.0000
0.7500 0.2500 0.5000
0.2500 0.7500 0.5000
0.5000 0.5000 0.0000
0.0907 0.6250 0.9657
0.3750 0.3407 0.4657
0.6593 0.1250 0.0343
0.8750 0.9093 0.5343
```

calculated volume = 13.31 Å³ per atom
formation energy from raw total energies = -918.4 meV/atom
DFT total energy = -42.5 eV/cell
symmetry = I-42d (122)

=====

Entry 5:
DFT (PBE) results for a relaxed MgPtO crystal.

POSCAR file:
```
MgPtO
1.0
3.6752 0.0000 0.0000
0.0000 3.6752 0.0000
0.0000 0.0000 6.5647
Mg Pt O
2 2 2
direct
0.2500 0.2500 0.1184
0.7500 0.7500 0.8816
0.2500 0.2500 0.5381
0.7500 0.7500 0.4619
0.2500 0.7500 0.0000
0.7500 0.2500 0.0000
```

calculated volume = 14.78 Å³ per atom
formation energy from raw total energies = -1143.7 meV/atom
DFT total energy = -32.0 eV/cell
symmetry = P4/nmm (129)

=====

Entry 6:
DFT (PBE) results for a relaxed MgPtO crystal.

POSCAR file:
```
MgPtO
1.0
3.8204 0.0000 0.0000
-1.9102 3.3085 0.0000
0.0000 0.0000 6.8746
Mg Pt O
2 2 2
direct
0.0000 0.0000 0.0000
0.0000 0.0000 0.5000
0.3333 0.6667 0.2500
0.6667 0.3333 0.7500
0.3333 0.6667 0.7500
0.6667 0.3333 0.2500
```

calculated volume = 14.48 Å³ per atom
formation energy from raw total energies = -330.5 meV/atom
DFT total energy = -27.2 eV/cell
symmetry = P6_3/mmc (194)

=====

Question: Among the records above, which one has the highest DFT total energy?
Answer: number 3